# Nd4SiPtCl2 PBE optimized geometry
# - raw formation energy (eV per formula unit) = -9.73
# - calculated volume (Å³/cell) = 218
data_Nd4SiPtCl2
_cell_length_a 7.3167
_cell_length_b 4.1527
_cell_length_c 7.5562
_cell_angle_alpha 90.00
_cell_angle_beta 108.46
_cell_angle_gamma 90.00
_symmetry_space_group_name_H-M 'P 1 2/m 1'
_symmetry_Int_Tables_number 10
loop_
_symmetry_equiv_pos_as_xyz
'x,y,z'
'-x,-y,-z'
'-x,y,-z'
'x,-y,z'
loop_
_atom_site_label
_atom_site_type_symbol
_atom_site_fract_x
_atom_site_fract_y
_atom_site_fract_z
Nd1 Nd 0.2186 0.0000 0.2340
Nd2 Nd 0.2301 0.5000 0.7412
Si1 Si 0.0000 0.0000 0.5000
Pt1 Pt 0.0000 0.5000 0.0000
Cl1 Cl 0.5000 0.0000 0.0000
Cl2 Cl 0.5000 0.5000 0.5000